Entry 1:
Compound: RbInPb4
Source: Alexandria
Functional: GGA-PBE
Structure: optimized geometry

Cell lengths 9.4504, 9.4504, 9.4504 Å; angles 90.00, 90.00, 90.00 degrees
Space group F-43m (No. 216)
Symmetry-distinct sites (fractional):
Rb  0.0000  0.0000  0.0000 (multiplicity 4)
In  0.2500  0.2500  0.7500 (multiplicity 4)
Pb  0.1250  0.1250  0.3750 (multiplicity 16)

* E above lowest polymorph: 57 meV per atom
* total DFT energy (no corrections): -3.06 eV/atom
* density of states at the Fermi level: 32.3 states/eV/cell

Entry 2:
Compound: Cs4HAu
Source: Alexandria
Functional: GGA-PBE
Structure: optimized geometry

Cell lengths 10.4154, 8.9554, 8.4904 Å; angles 90.00, 90.00, 90.00 degrees
Space group Pmn2_1 (No. 31)
Symmetry-distinct sites (fractional):
Cs  0.0000  0.1177  0.0000 (multiplicity 2)
Cs  0.0000  0.8050  0.4729 (multiplicity 2)
Cs  0.2295  0.6624  0.0033 (multiplicity 4)
H  0.0000  0.8025  0.1308 (multiplicity 2)
Au  0.0000  0.4711  0.7455 (multiplicity 2)

* E above lowest polymorph: 24 meV per atom
* total DFT energy (no corrections): -1.79 eV/atom
* density of states at the Fermi level: 8.5 states/eV/cell